No. 1
LiCeSb | PBE | relaxed

Cell: 7.161 7.161 7.161 Å, 90.00 90.00 90.00°
Positions (direct):
Li 0.000 0.000 0.000
Li 0.000 0.500 0.500
Li 0.500 0.000 0.500
Li 0.500 0.500 0.000
Ce 0.000 0.000 0.500
Ce 0.000 0.500 0.000
Ce 0.500 0.000 0.000
Ce 0.500 0.500 0.500
Sb 0.250 0.250 0.750
Sb 0.250 0.750 0.250
Sb 0.750 0.250 0.250
Sb 0.750 0.750 0.750

Computed properties:
As for the formation energy from raw total energies: -1.5 eV/f.u. The calculation puts the final energy at -4.503 eV/atom. The density of states at the Fermi level comes out at 8.85 states/eV/f.u.



No. 2
Tm12In6Ir | PBE | relaxed

Cell: 8.164 8.164 8.164 Å, 93.39 93.39 93.39°
Positions (direct):
Tm 0.049 0.706 0.935
Tm 0.065 0.951 0.294
Tm 0.179 0.517 0.396
Tm 0.294 0.065 0.951
Tm 0.396 0.179 0.517
Tm 0.483 0.604 0.821
Tm 0.517 0.396 0.179
Tm 0.604 0.821 0.483
Tm 0.706 0.935 0.049
Tm 0.821 0.483 0.604
Tm 0.935 0.049 0.706
Tm 0.951 0.294 0.065
In 0.163 0.370 0.770
In 0.230 0.837 0.630
In 0.370 0.770 0.163
In 0.630 0.230 0.837
In 0.770 0.163 0.370
In 0.837 0.630 0.230
Ir 0.500 0.500 0.500

Computed properties:
The calculation puts the final energy at -4.399 eV/atom. The density of states at the Fermi level comes out at 18.59 states/eV/f.u.



No. 3
LaSmZnCd | PBE | relaxed

Cell: 7.590 7.590 7.590 Å, 90.00 90.00 90.00°
Positions (direct):
La 0.000 0.000 0.000
La 0.000 0.500 0.500
La 0.500 0.000 0.500
La 0.500 0.500 0.000
Sm 0.000 0.000 0.500
Sm 0.000 0.500 0.000
Sm 0.500 0.000 0.000
Sm 0.500 0.500 0.500
Zn 0.250 0.250 0.750
Zn 0.250 0.750 0.250
Zn 0.750 0.250 0.250
Zn 0.750 0.750 0.750
Cd 0.250 0.250 0.250
Cd 0.250 0.750 0.750
Cd 0.750 0.250 0.750
Cd 0.750 0.750 0.250

Computed properties:
The calculation puts the final energy at -3.252 eV/atom. The density of states at the Fermi level comes out at 5.09 states/eV/f.u.



No. 4
KBeCr2 | PBE | relaxed

Cell: 2.975 4.316 9.462 Å, 90.00 90.00 90.00°
Positions (direct):
K 0.000 0.000 0.000
K 0.500 0.500 0.000
Be 0.000 0.500 0.303
Be 0.500 0.000 0.303
Cr 0.000 0.000 0.494
Cr 0.000 0.500 0.680
Cr 0.500 0.000 0.680
Cr 0.500 0.500 0.494

Computed properties:
The calculation puts the final energy at -5.091 eV/atom. The density of states at the Fermi level comes out at 3.94 states/eV/f.u.



No. 5
TcSbH2 | PBE | relaxed

Cell: 4.159 4.159 11.013 Å, 90.00 90.00 90.00°
Positions (direct):
Tc 0.000 0.000 0.000
Tc 0.000 0.500 0.250
Tc 0.500 0.000 0.750
Tc 0.500 0.500 0.500
Sb 0.000 0.000 0.500
Sb 0.000 0.500 0.750
Sb 0.500 0.000 0.250
Sb 0.500 0.500 0.000
H 0.002 0.250 0.125
H 0.250 0.502 0.375
H 0.250 0.998 0.875
H 0.498 0.250 0.625
H 0.502 0.750 0.625
H 0.750 0.002 0.875
H 0.750 0.498 0.375
H 0.998 0.750 0.125

Computed properties:
The calculation puts the final energy at -4.821 eV/atom. The density of states at the Fermi level comes out at 3.04 states/eV/f.u.



No. 6
ZrCuSeN2 | PBE | relaxed

Cell: 3.896 3.896 4.559 Å, 90.00 90.00 90.00°
Positions (direct):
Zr 0.000 0.000 0.000
Cu 0.500 0.500 0.500
Se 0.500 0.500 0.000
N 0.000 0.500 0.500
N 0.500 0.000 0.500

Computed properties:
As for the formation energy from raw total energies: 4.0 eV/f.u. The calculation puts the final energy at -5.759 eV/atom. The density of states at the Fermi level comes out at 3.15 states/eV/f.u.



No. 7
Tb2MgAg3 | PBE | relaxed

Cell: 3.550 3.550 10.743 Å, 90.00 90.00 90.00°
Positions (direct):
Tb 0.000 0.000 0.175
Tb 0.000 0.000 0.825
Mg 0.000 0.000 0.500
Ag 0.500 0.500 0.000
Ag 0.500 0.500 0.353
Ag 0.500 0.500 0.647

Computed properties:
The calculation puts the final energy at -3.505 eV/atom. The density of states at the Fermi level comes out at 3.29 states/eV/f.u.



No. 8
CaTe2IO | PBE | relaxed

Cell: 4.561 4.561 6.566 Å, 90.00 90.00 90.00°
Positions (direct):
Ca 0.000 0.000 0.000
Te 0.000 0.500 0.500
Te 0.500 0.000 0.500
I 0.500 0.500 0.000
O 0.500 0.500 0.500

Computed properties:
As for the formation energy from raw total energies: -3.2 eV/f.u. The calculation puts the final energy at -3.591 eV/atom. The density of states at the Fermi level comes out at 2.82 states/eV/f.u.